Ce5Ru2Pb (PBE, optimized geometry); VASP energy = -109.2 eV per cell; M_tot = 6.9 μB per cell; SG = I4/mcm (140)
1.0
7.070 0.000 -3.337
-1.575 6.892 -3.337
-0.182 -0.229 8.771
Ce Ru Pb
10 4 2
Direct
0.291 0.791 0.268
0.500 0.500 0.000
0.791 0.976 0.268
0.024 0.524 0.732
0.976 0.476 0.268
0.709 0.209 0.732
0.476 0.291 0.268
0.000 0.000 0.000
0.524 0.709 0.732
0.209 0.024 0.732
0.147 0.353 0.000
0.853 0.647 0.000
0.353 0.853 0.000
0.647 0.147 0.000
0.750 0.750 0.500
0.250 0.250 0.500